(1)
Compound: BeZn2Hg
Source: the Alexandria database
Functional: PBE
Structure: optimized geometry

The structure belongs to space group Pm (No. 6); the cell edges are 3.079, 4.211 and 5.283 Å and the angles 90.00°, 104.99° and 90.00°. The inequivalent atoms are Be at (0.000, 0.000, 0.000), Zn at (0.134, 0.500, 0.253), Zn at (0.673, 0.000, 0.385) and Hg at (0.840, 0.500, 0.733).

Its energy relative to the lowest polymorph listed for this composition is 0.0439 eV per atom. The formation energy is 0.2597 eV per atom. The density of states at the Fermi level comes out at 1.1 states/eV/f.u. The value obtained for the calculated volume is 66 Å³/f.u. The calculation puts the total energy at -1.38 eV per atom.

=====

(2)
Compound: Mn2HRuRh
Source: the Alexandria database
Functional: PBE
Structure: optimized geometry

The structure belongs to space group P4/mmm (No. 123); the cell edges are 3.777, 3.777 and 3.720 Å and the angles 90.00°, 90.00° and 90.00°. The inequivalent atoms are Mn at (0.000, 0.500, 0.000), H at (0.000, 0.000, 0.000), Ru at (0.500, 0.500, 0.500) and Rh at (0.000, 0.000, 0.500).

Its energy relative to the lowest polymorph listed for this composition is 0.0180 eV per atom. The density of states at the Fermi level comes out at 5.1 states/eV/f.u. The value obtained for the calculated volume is 53 Å³/f.u. The calculation puts the total energy at -7.61 eV per atom.